(1)
## CaTlCl2 (PBE)

Data for a relaxed CaTlCl2 crystal. Values from VASP.

Geometry as Quantum ESPRESSO input:
```
&SYSTEM
  ibrav = 0, nat = 4, ntyp = 3
/
ATOMIC_SPECIES
Cl 35.45 Cl.upf
Tl 204.38 Tl.upf
Ca 40.08 Ca.upf
CELL_PARAMETERS angstrom
-0.2797 -4.6500 9.1170
3.9766 -6.5536 6.7866
-0.5013 7.5611 -6.8847
ATOMIC_POSITIONS angstrom
Cl 0.3810 -1.1545 1.6388
Tl 1.6277 -4.9328 7.0022
Cl 0.5634 -1.4352 5.2197
Ca 2.4720 -1.7216 3.1099
```

DFT total energy = -13.967 eV/cell
Uncorrected formation energy = -5.906 eV per formula unit
SG = Imm2
N(E_F) = 0.327 states/eV/atom
Offset from the most stable computed form = 141 meV/atom



(2)
## LiSiI3 (PBE)

Data for a relaxed LiSiI3 crystal. Values from VASP.

Geometry as Quantum ESPRESSO input:
```
&SYSTEM
  ibrav = 0, nat = 5, ntyp = 3
/
ATOMIC_SPECIES
Li 6.94 Li.upf
I 126.90 I.upf
Si 28.09 Si.upf
CELL_PARAMETERS angstrom
5.4200 0.0000 0.0000
0.0000 5.4200 0.0000
0.0000 0.0000 5.4200
ATOMIC_POSITIONS angstrom
Li 0.0000 0.0000 0.0000
I 0.0000 0.0000 2.7100
I 0.0000 2.7100 0.0000
Si 2.7100 2.7100 2.7100
I 2.7100 0.0000 0.0000
```

DFT total energy = -11.153 eV/cell
Uncorrected formation energy = 0.834 eV per formula unit
SG = Pm-3m
N(E_F) = 0.230 states/eV/atom
Offset from the most stable computed form = 428 meV/atom